[1]
The following is a DFT calculation (PBE) of a relaxed structure of LiPm2TcO6.

Unit cell a=5.232 b=5.232 c=5.035 alpha=90.00 beta=90.00 gamma=90.00
Fractional coordinates of all 10 atoms:
Li 0.000 0.000 0.000
Pm 0.000 0.500 0.448
Pm 0.500 0.000 0.448
Tc 0.500 0.500 0.007
O 0.000 0.000 0.605
O 0.263 0.263 0.168
O 0.263 0.737 0.168
O 0.500 0.500 0.649
O 0.737 0.263 0.168
O 0.737 0.737 0.168

Output
- space group = P4mm (99)
- uncorrected formation energy (meV per atom) = -2310

***

[2]
The following is a DFT calculation (PBE) of a relaxed structure of Li2PmTeO6.

Unit cell a=7.187 b=7.187 c=6.253 alpha=108.38 beta=108.38 gamma=83.05
Fractional coordinates of all 20 atoms:
Li 0.118 0.253 0.121
Li 0.253 0.118 0.621
Li 0.747 0.882 0.379
Li 0.882 0.747 0.879
Pm 0.391 0.609 0.750
Pm 0.609 0.391 0.250
Te 0.246 0.754 0.250
Te 0.754 0.246 0.750
O 0.028 0.203 0.755
O 0.147 0.647 0.912
O 0.203 0.028 0.255
O 0.289 0.491 0.309
O 0.353 0.853 0.588
O 0.491 0.289 0.809
O 0.509 0.711 0.191
O 0.647 0.147 0.412
O 0.711 0.509 0.691
O 0.797 0.972 0.745
O 0.853 0.353 0.088
O 0.972 0.797 0.245

Output
- space group = C2/c (15)
- uncorrected formation energy (meV per atom) = -1787

***

[3]
The following is a DFT calculation (PBE) of a relaxed structure of LiPmTeO.

Unit cell a=4.144 b=4.144 c=9.668 alpha=90.00 beta=90.00 gamma=90.00
Fractional coordinates of all 8 atoms:
Li 0.250 0.750 0.000
Li 0.750 0.250 0.000
Pm 0.250 0.250 0.385
Pm 0.750 0.750 0.615
Te 0.250 0.250 0.814
Te 0.750 0.750 0.186
O 0.250 0.750 0.500
O 0.750 0.250 0.500

Output
- space group = P4/nmm (129)
- uncorrected formation energy (meV per atom) = -2187